Record 1
## Th2PaBi (PBE-GGA)

Data for Th2PaBi after structural relaxation.

The formation energy is 0.1198 eV per atom. The calculation puts the total DFT energy (no corrections) at -110.9 eV/cell. For the excess energy over the best structure of this formula in the dataset, the calculation gives 0.210 eV per atom. The total magnetization comes out at 0.001 μB per formula unit.

The structure belongs to space group Fm-3m (No. 225); the cell edges are 7.823, 7.823 and 7.823 Å and the angles 90.00°, 90.00° and 90.00°. The asymmetric unit holds Th at (0.250, 0.250, 0.250), Pa at (0.000, 0.000, 0.000) and Bi at (0.000, 0.000, 0.500).

Record 2
## Rb3Ga4Ag (PBE-GGA)

Data for Rb3Ga4Ag after structural relaxation.

The formation energy is 0.0067 eV per atom. The calculation puts the total DFT energy (no corrections) at -35.6 eV/cell. The total magnetization comes out at 0.000 μB per formula unit.

The structure belongs to space group Pmmn (No. 59, origin choice 2); the cell edges are 5.996, 14.548 and 6.407 Å and the angles 90.00°, 90.00° and 90.00°. The asymmetric unit holds Rb at (0.250, 0.009, 0.217), Rb at (0.250, 0.750, 0.522), Ga at (0.028, 0.750, 0.031), Ga at (0.250, 0.153, 0.705) and Ag at (0.250, 0.250, 0.310).

Record 3
## CaTlF (PBE-GGA)

Data for CaTlF after structural relaxation.

The calculation puts the total DFT energy (no corrections) at -73.4 eV/cell. As for the formation energy without anion corrections: -6.00 eV/f.u. The total magnetization comes out at 0.000 μB per formula unit.

The structure belongs to space group R-3m (No. 166, hexagonal axes); the cell edges are 3.9034, 3.9034 and 30.8187 Å and the angles 90.00°, 90.00° and 120.00°. The asymmetric unit holds Ca at (0.0000, 0.0000, 0.1146), Tl at (0.0000, 0.0000, 0.3684) and F at (0.0000, 0.0000, 0.1930).

Record 4
## Ba2ThTiS6 (PBE-GGA)

Data for Ba2ThTiS6 after structural relaxation.

The calculation puts the total DFT energy (no corrections) at -124.1 eV/cell. As for the formation energy without anion corrections: -18.11 eV/f.u. The total magnetization comes out at 0.000 μB per formula unit.

The structure belongs to space group C2/m (No. 12); the cell edges are 12.387, 7.150 and 7.308 Å and the angles 90.00°, 125.13° and 90.00°. The asymmetric unit holds Ba at (0.246, 0.000, 0.236), Th at (0.000, 0.000, 0.500), Ti at (0.000, 0.500, 0.000), S at (0.041, 0.262, 0.807) and S at (0.235, 0.500, 0.309).

Record 5
## Pm6Y3In (PBE-GGA)

Data for Pm6Y3In after structural relaxation.

The formation energy is -0.0030 eV per atom. The calculation puts the total DFT energy (no corrections) at -101.3 eV/cell. For the excess energy over the best structure of this formula in the dataset, the calculation gives 0.000 eV per atom. The total magnetization comes out at 0.000 μB per formula unit.

The structure belongs to space group P2_1/m (No. 11); the cell edges are 12.445, 3.608 and 14.846 Å and the angles 90.00°, 93.83° and 90.00°. The asymmetric unit holds Pm at (0.060, 0.250, 0.394), Pm at (0.120, 0.750, 0.955), Pm at (0.198, 0.250, 0.749), Pm at (0.292, 0.750, 0.315), Pm at (0.310, 0.250, 0.109), Pm at (0.389, 0.250, 0.495), Y at (0.073, 0.750, 0.182), Y at (0.399, 0.750, 0.918), Y at (0.447, 0.750, 0.696) and In at (0.193, 0.750, 0.557).

Record 6
## Rb3Tm2HfTe6 (PBE-GGA)

Data for Rb3Tm2HfTe6 after structural relaxation.

The calculation puts the total DFT energy (no corrections) at -109.4 eV/cell. As for the formation energy without anion corrections: -14.04 eV/f.u. The total magnetization comes out at 0.001 μB per formula unit.

The structure belongs to space group C2/m (No. 12); the cell edges are 7.587, 13.141 and 8.937 Å and the angles 90.00°, 106.46° and 90.00°. The asymmetric unit holds Rb at (0.000, 0.000, 0.000), Rb at (0.000, 0.329, 0.000), Tm at (0.000, 0.166, 0.500), Hf at (0.000, 0.500, 0.500), Te at (0.226, 0.339, 0.695) and Te at (0.245, 0.000, 0.697).

Record 7
## LiAlRh2 (PBE-GGA)

Data for LiAlRh2 after structural relaxation.

The formation energy is -0.4368 eV per atom. The calculation puts the total DFT energy (no corrections) at -44.2 eV/cell. The total magnetization comes out at 0.000 μB per formula unit.

The structure belongs to space group Cmmm (No. 65); the cell edges are 3.057, 4.633 and 7.942 Å and the angles 90.00°, 90.00° and 90.00°. The asymmetric unit holds Li at (0.000, 0.000, 0.000), Al at (0.000, 0.000, 0.500) and Rh at (0.000, 0.500, 0.263).

Record 8
## KInPb (PBE-GGA)

Data for KInPb after structural relaxation.

The formation energy is -0.1569 eV per atom. The calculation puts the total DFT energy (no corrections) at -16.0 eV/cell. The total magnetization comes out at 0.000 μB per formula unit.

The structure belongs to space group Pmmn (No. 59, origin choice 2); the cell edges are 4.977, 4.986 and 8.906 Å and the angles 90.00°, 90.00° and 90.00°. The asymmetric unit holds K at (0.250, 0.250, 0.159), In at (0.250, 0.250, 0.731) and Pb at (0.250, 0.750, 0.500).

Which formula does entry 5 have?
Pm6Y3In